# Sc2RuW | Alexandria | PBE-GGA | optimized geometry
# * V: 18.7 Å³ per atom
# * crystal system: tetragonal
# * energy of formation from the pure elements: 0.49 eV/atom
# * energy above the lowest structure with this stoichiometry: 14.086 kcal/mol of atoms
# * E_tot: -8.2337 eV/atom
data_Sc2RuW
_chemical_formula_sum 'Sc8 Ru4 W4'
_cell_length_a 7.3828
_cell_length_b 7.3828
_cell_length_c 5.4930
_cell_angle_alpha 90.00
_cell_angle_beta 90.00
_cell_angle_gamma 90.00
_symmetry_space_group_name_H-M 'I -4 2 d'
_symmetry_Int_Tables_number 122
_symmetry_space_group_name_Hall 'I -4 2bw'
loop_
_atom_site_label
_atom_site_type_symbol
_atom_site_fract_x
_atom_site_fract_y
_atom_site_fract_z
_atom_site_occupancy
Sc1 Sc 0.2186 0.2500 0.1250 1
Ru1 Ru 0.0000 0.0000 0.0000 1
W1 W 0.0000 0.0000 0.5000 1

# ScRu2W | Alexandria | PBE-GGA | optimized geometry
# * V: 16.0 Å³ per atom
# * crystal system: trigonal
# * energy of formation from the pure elements: 0.24 eV/atom
# * E_tot: -9.2237 eV/atom
data_ScRu2W
_chemical_formula_sum 'Sc3 Ru6 W3'
_cell_length_a 2.8515
_cell_length_b 2.8515
_cell_length_c 27.3155
_cell_angle_alpha 90.00
_cell_angle_beta 90.00
_cell_angle_gamma 120.00
_symmetry_space_group_name_H-M 'R 3 m'
_symmetry_Int_Tables_number 160
_symmetry_space_group_name_Hall 'R 3 -2"'
loop_
_atom_site_label
_atom_site_type_symbol
_atom_site_fract_x
_atom_site_fract_y
_atom_site_fract_z
_atom_site_occupancy
Sc1 Sc 0.0000 0.0000 0.0000 1
Ru1 Ru 0.0000 0.0000 0.4964 1
Ru2 Ru 0.0000 0.0000 0.7508 1
W1 W 0.0000 0.0000 0.2422 1

# Sc2RuW | Alexandria | PBE-GGA | optimized geometry
# * V: 17.6 Å³ per atom
# * crystal system: tetragonal
# * energy of formation from the pure elements: -0.02 eV/atom
# * energy above the lowest structure with this stoichiometry: 2.320 kcal/mol of atoms
# * E_tot: -8.7439 eV/atom
data_Sc2RuW
_chemical_formula_sum 'Sc2 Ru1 W1'
_cell_length_a 3.1192
_cell_length_b 3.1192
_cell_length_c 7.2489
_cell_angle_alpha 90.00
_cell_angle_beta 90.00
_cell_angle_gamma 90.00
_symmetry_space_group_name_H-M 'P 4/m m m'
_symmetry_Int_Tables_number 123
_symmetry_space_group_name_Hall '-P 4 2'
loop_
_atom_site_label
_atom_site_type_symbol
_atom_site_fract_x
_atom_site_fract_y
_atom_site_fract_z
_atom_site_occupancy
Sc1 Sc 0.0000 0.0000 0.2212 1
Ru1 Ru 0.5000 0.5000 0.0000 1
W1 W 0.5000 0.5000 0.5000 1

DOS at the Fermi energy in states/eV/f.u., matching the order above: 3.51 4.58 3.63